[1]
{
  "formula": "Li3SbS4",
  "functional": "GGA-PBEsol",
  "state": "relaxed",
  "cell": [[7.912, 0.000, 0.000], [0.000, 6.817, 0.000], [0.000, 0.000, 6.366]],
  "species": ["Li", "Li", "Li", "Li", "Li", "Li", "Sb", "Sb", "S", "S", "S", "S", "S", "S", "S", "S"],
  "frac_coords": [[0.000, 0.155, 0.000], [0.245, 0.326, 0.507], [0.255, 0.674, 0.007], [0.500, 0.845, 0.500], [0.745, 0.674, 0.007], [0.755, 0.326, 0.507], [0.000, 0.827, 0.510], [0.500, 0.173, 0.010], [0.000, 0.151, 0.384], [0.000, 0.819, 0.880], [0.243, 0.664, 0.388], [0.257, 0.336, 0.888], [0.500, 0.181, 0.380], [0.500, 0.849, 0.884], [0.743, 0.336, 0.888], [0.757, 0.664, 0.388]],
  "dos_at_fermi_per_ev_fu": 0.00,
  "raw_formation_energy_ev_per_atom": -0.84
}



[2]
{
  "formula": "Li4SbS4",
  "functional": "GGA-PBEsol",
  "state": "relaxed",
  "cell": [[5.220, -4.391, 0.000], [5.220, 4.391, 0.000], [0.000, 0.000, 7.802]],
  "species": ["Li", "Li", "Li", "Li", "Li", "Li", "Li", "Li", "Sb", "Sb", "S", "S", "S", "S", "S", "S", "S", "S"],
  "frac_coords": [[0.119, 0.573, 0.750], [0.151, 0.151, 0.000], [0.151, 0.151, 0.500], [0.427, 0.881, 0.750], [0.573, 0.119, 0.250], [0.849, 0.849, 0.000], [0.849, 0.849, 0.500], [0.881, 0.427, 0.250], [0.367, 0.633, 0.250], [0.633, 0.367, 0.750], [0.213, 0.787, 0.511], [0.213, 0.787, 0.989], [0.239, 0.306, 0.250], [0.306, 0.239, 0.750], [0.694, 0.761, 0.250], [0.761, 0.694, 0.750], [0.787, 0.213, 0.011], [0.787, 0.213, 0.489]],
  "dos_at_fermi_per_ev_fu": 2.41,
  "raw_formation_energy_ev_per_atom": -0.90
}



[3]
{
  "formula": "Li5SbS4",
  "functional": "GGA-PBEsol",
  "state": "relaxed",
  "cell": [[-1.933, 3.532, 6.628], [1.933, -3.532, 6.628], [1.933, 3.532, -6.628]],
  "species": ["Li", "Li", "Li", "Li", "Li", "Sb", "S", "S", "S", "S"],
  "frac_coords": [[0.000, 0.000, 0.000], [0.112, 0.322, 0.790], [0.468, 0.678, 0.790], [0.532, 0.322, 0.210], [0.888, 0.678, 0.210], [0.500, 0.000, 0.500], [0.229, 0.500, 0.729], [0.289, 0.789, 0.500], [0.711, 0.211, 0.500], [0.771, 0.500, 0.271]],
  "raw_formation_energy_ev_per_atom": -1.04
}



[4]
{
  "formula": "Li3SbS4",
  "functional": "GGA-PBEsol",
  "state": "relaxed",
  "cell": [[6.088, 0.000, 0.000], [0.000, 6.088, 0.000], [0.000, 0.000, 6.088]],
  "species": ["Li", "Li", "Li", "Sb", "S", "S", "S", "S"],
  "frac_coords": [[0.000, 0.000, 0.500], [0.000, 0.500, 0.000], [0.500, 0.000, 0.000], [0.000, 0.000, 0.000], [0.221, 0.221, 0.221], [0.221, 0.779, 0.779], [0.779, 0.221, 0.779], [0.779, 0.779, 0.221]],
  "dos_at_fermi_per_ev_fu": 0.00,
  "raw_formation_energy_ev_per_atom": -0.75
}



[5]
{
  "formula": "Li34Sb8S7",
  "functional": "GGA-PBEsol",
  "state": "relaxed",
  "cell": [[-4.789, 4.789, 9.458], [4.789, -4.789, 9.458], [4.789, 4.789, -9.458]],
  "species": ["Li", "Li", "Li", "Li", "Li", "Li", "Li", "Li", "Li", "Li", "Li", "Li", "Li", "Li", "Li", "Li", "Li", "Li", "Li", "Li", "Li", "Li", "Li", "Li", "Li", "Li", "Li", "Li", "Li", "Li", "Li", "Li", "Li", "Li", "Sb", "Sb", "Sb", "Sb", "Sb", "Sb", "Sb", "Sb", "S", "S", "S", "S", "S", "S", "S"],
  "frac_coords": [[0.052, 0.901, 0.701], [0.065, 0.171, 0.718], [0.070, 0.570, 0.500], [0.099, 0.799, 0.150], [0.141, 0.721, 0.862], [0.171, 0.453, 0.106], [0.201, 0.351, 0.299], [0.229, 0.346, 0.720], [0.250, 0.750, 0.500], [0.279, 0.141, 0.420], [0.346, 0.065, 0.894], [0.346, 0.626, 0.116], [0.351, 0.052, 0.150], [0.374, 0.490, 0.720], [0.430, 0.930, 0.500], [0.453, 0.346, 0.282], [0.490, 0.771, 0.116], [0.510, 0.229, 0.884], [0.547, 0.654, 0.718], [0.570, 0.070, 0.500], [0.626, 0.510, 0.280], [0.649, 0.948, 0.850], [0.654, 0.374, 0.884], [0.654, 0.935, 0.106], [0.721, 0.859, 0.580], [0.750, 0.250, 0.500], [0.771, 0.654, 0.280], [0.799, 0.649, 0.701], [0.829, 0.547, 0.894], [0.859, 0.279, 0.138], [0.901, 0.201, 0.850], [0.930, 0.430, 0.500], [0.935, 0.829, 0.282], [0.948, 0.099, 0.299], [0.032, 0.468, 0.812], [0.219, 0.032, 0.564], [0.344, 0.781, 0.812], [0.468, 0.656, 0.436], [0.532, 0.344, 0.564], [0.656, 0.219, 0.188], [0.781, 0.968, 0.436], [0.968, 0.532, 0.188], [0.107, 0.318, 0.425], [0.183, 0.183, 0.000], [0.318, 0.893, 0.211], [0.500, 0.500, 0.000], [0.682, 0.107, 0.789], [0.817, 0.817, 0.000], [0.893, 0.682, 0.575]],
  "dos_at_fermi_per_ev_fu": 12.93,
  "raw_formation_energy_ev_per_atom": -0.86
}



[6]
{
  "formula": "Li3SbS3",
  "functional": "GGA-PBEsol",
  "state": "relaxed",
  "cell": [[3.515, 2.029, 6.387], [-3.515, 2.029, 6.387], [0.000, -4.058, 6.387]],
  "species": ["Li", "Li", "Li", "Li", "Li", "Li", "Sb", "Sb", "S", "S", "S", "S", "S", "S"],
  "frac_coords": [[0.133, 0.406, 0.816], [0.184, 0.867, 0.594], [0.406, 0.816, 0.133], [0.594, 0.184, 0.867], [0.816, 0.133, 0.406], [0.867, 0.594, 0.184], [0.323, 0.323, 0.323], [0.677, 0.677, 0.677], [0.070, 0.728, 0.462], [0.272, 0.538, 0.930], [0.462, 0.070, 0.728], [0.538, 0.930, 0.272], [0.728, 0.462, 0.070], [0.930, 0.272, 0.538]],
  "dos_at_fermi_per_ev_fu": 0.00,
  "raw_formation_energy_ev_per_atom": -0.93
}



[7]
{
  "formula": "Li9Sb3S",
  "functional": "GGA-PBEsol",
  "state": "relaxed",
  "cell": [[7.417, 0.000, 0.000], [0.000, 9.368, 0.000], [-5.050, 0.000, 13.675]],
  "species": ["Li", "Li", "Li", "Li", "Li", "Li", "Li", "Li", "Li", "Li", "Li", "Li", "Li", "Li", "Li", "Li", "Li", "Li", "Li", "Li", "Li", "Li", "Li", "Li", "Li", "Li", "Li", "Li", "Li", "Li", "Li", "Li", "Li", "Li", "Li", "Li", "Sb", "Sb", "Sb", "Sb", "Sb", "Sb", "Sb", "Sb", "Sb", "Sb", "Sb", "Sb", "S", "S", "S", "S"],
  "frac_coords": [[0.005, 0.176, 0.001], [0.005, 0.324, 0.501], [0.034, 0.031, 0.693], [0.034, 0.469, 0.193], [0.150, 0.713, 0.347], [0.150, 0.787, 0.847], [0.171, 0.006, 0.169], [0.171, 0.494, 0.669], [0.177, 0.221, 0.331], [0.177, 0.279, 0.831], [0.226, 0.037, 0.552], [0.226, 0.463, 0.052], [0.423, 0.749, 0.047], [0.423, 0.751, 0.547], [0.429, 0.088, 0.757], [0.429, 0.412, 0.257], [0.461, 0.193, 0.125], [0.461, 0.307, 0.625], [0.539, 0.693, 0.375], [0.539, 0.807, 0.875], [0.571, 0.588, 0.743], [0.571, 0.912, 0.243], [0.577, 0.249, 0.453], [0.577, 0.251, 0.953], [0.774, 0.537, 0.948], [0.774, 0.963, 0.448], [0.823, 0.721, 0.169], [0.823, 0.779, 0.669], [0.829, 0.506, 0.331], [0.829, 0.994, 0.831], [0.850, 0.213, 0.153], [0.850, 0.287, 0.653], [0.966, 0.531, 0.807], [0.966, 0.969, 0.307], [0.995, 0.676, 0.499], [0.995, 0.824, 0.999], [0.218, 0.715, 0.174], [0.218, 0.785, 0.674], [0.293, 0.037, 0.943], [0.293, 0.463, 0.443], [0.378, 0.545, 0.897], [0.378, 0.955, 0.397], [0.622, 0.045, 0.603], [0.622, 0.455, 0.103], [0.707, 0.537, 0.557], [0.707, 0.963, 0.057], [0.782, 0.215, 0.326], [0.782, 0.285, 0.826], [0.173, 0.240, 0.661], [0.173, 0.260, 0.161], [0.827, 0.740, 0.839], [0.827, 0.760, 0.339]],
  "raw_formation_energy_ev_per_atom": -0.70
}



[8]
{
  "formula": "Li5SbS4",
  "functional": "GGA-PBEsol",
  "state": "relaxed",
  "cell": [[16.161, 0.000, 0.000], [0.000, 16.161, 0.000], [0.000, 0.000, 5.880]],
  "species": ["Li", "Li", "Li", "Li", "Li", "Li", "Li", "Li", "Li", "Li", "Li", "Li", "Li", "Li", "Li", "Li", "Li", "Li", "Li", "Li", "Li", "Li", "Li", "Li", "Li", "Li", "Li", "Li", "Li", "Li", "Li", "Li", "Li", "Li", "Li", "Li", "Li", "Li", "Li", "Li", "Sb", "Sb", "Sb", "Sb", "Sb", "Sb", "Sb", "Sb", "S", "S", "S", "S", "S", "S", "S", "S", "S", "S", "S", "S", "S", "S", "S", "S", "S", "S", "S", "S", "S", "S", "S", "S", "S", "S", "S", "S", "S", "S", "S", "S"],
  "frac_coords": [[0.014, 0.514, 0.250], [0.014, 0.986, 0.250], [0.110, 0.138, 0.173], [0.110, 0.362, 0.173], [0.121, 0.621, 0.750], [0.121, 0.879, 0.750], [0.138, 0.110, 0.673], [0.138, 0.390, 0.673], [0.250, 0.250, 0.138], [0.250, 0.250, 0.638], [0.250, 0.750, 0.250], [0.250, 0.750, 0.750], [0.362, 0.110, 0.673], [0.362, 0.390, 0.673], [0.379, 0.621, 0.750], [0.379, 0.879, 0.750], [0.390, 0.138, 0.173], [0.390, 0.362, 0.173], [0.486, 0.514, 0.250], [0.486, 0.986, 0.250], [0.514, 0.014, 0.750], [0.514, 0.486, 0.750], [0.610, 0.638, 0.827], [0.610, 0.862, 0.827], [0.621, 0.121, 0.250], [0.621, 0.379, 0.250], [0.638, 0.610, 0.327], [0.638, 0.890, 0.327], [0.750, 0.250, 0.250], [0.750, 0.250, 0.750], [0.750, 0.750, 0.362], [0.750, 0.750, 0.862], [0.862, 0.610, 0.327], [0.862, 0.890, 0.327], [0.879, 0.121, 0.250], [0.879, 0.379, 0.250], [0.890, 0.638, 0.827], [0.890, 0.862, 0.827], [0.986, 0.014, 0.750], [0.986, 0.486, 0.750], [0.021, 0.750, 0.302], [0.250, 0.521, 0.198], [0.250, 0.979, 0.198], [0.479, 0.750, 0.302], [0.521, 0.250, 0.698], [0.750, 0.021, 0.802], [0.750, 0.479, 0.802], [0.979, 0.250, 0.698], [0.010, 0.115, 0.464], [0.010, 0.385, 0.464], [0.115, 0.010, 0.964], [0.115, 0.490, 0.964], [0.128, 0.750, 0.977], [0.129, 0.250, 0.886], [0.250, 0.129, 0.386], [0.250, 0.371, 0.386], [0.250, 0.628, 0.523], [0.250, 0.872, 0.523], [0.371, 0.250, 0.886], [0.372, 0.750, 0.977], [0.385, 0.010, 0.964], [0.385, 0.490, 0.964], [0.490, 0.115, 0.464], [0.490, 0.385, 0.464], [0.510, 0.615, 0.536], [0.510, 0.885, 0.536], [0.615, 0.510, 0.036], [0.615, 0.990, 0.036], [0.628, 0.250, 0.023], [0.629, 0.750, 0.114], [0.750, 0.128, 0.477], [0.750, 0.372, 0.477], [0.750, 0.629, 0.614], [0.750, 0.871, 0.614], [0.871, 0.750, 0.114], [0.872, 0.250, 0.023], [0.885, 0.510, 0.036], [0.885, 0.990, 0.036], [0.990, 0.615, 0.536], [0.990, 0.885, 0.536]],
  "raw_formation_energy_ev_per_atom": -0.99
}



[9]
{
  "formula": "LiSb2TeS",
  "functional": "GGA-PBEsol",
  "state": "relaxed",
  "cell": [[4.978, 0.000, 0.000], [0.000, 4.978, 0.000], [0.000, 0.000, 4.683]],
  "species": ["Li", "Sb", "Sb", "Te", "S"],
  "frac_coords": [[0.000, 0.000, 0.000], [0.000, 0.500, 0.000], [0.500, 0.000, 0.000], [0.000, 0.000, 0.500], [0.500, 0.500, 0.500]],
  "dos_at_fermi_per_ev_fu": 4.38,
  "raw_formation_energy_ev_per_atom": 0.46
}



[10]
{
  "formula": "LiSbTe2S",
  "functional": "GGA-PBEsol",
  "state": "relaxed",
  "cell": [[5.395, 0.000, 0.000], [0.000, 5.395, 0.000], [0.000, 0.000, 5.043]],
  "species": ["Li", "Sb", "Te", "Te", "S"],
  "frac_coords": [[0.000, 0.000, 0.000], [0.500, 0.500, 0.000], [0.000, 0.500, 0.500], [0.500, 0.000, 0.500], [0.500, 0.500, 0.500]],
  "dos_at_fermi_per_ev_fu": 4.18,
  "raw_formation_energy_ev_per_atom": 0.20
}



[11]
{
  "formula": "LiSc2S",
  "functional": "GGA-PBEsol",
  "state": "relaxed",
  "cell": [[7.563, 0.000, 0.000], [0.000, 7.563, 0.000], [0.000, 0.000, 5.844]],
  "species": ["Li", "Li", "Li", "Li", "Sc", "Sc", "Sc", "Sc", "Sc", "Sc", "Sc", "Sc", "S", "S", "S", "S"],
  "frac_coords": [[0.000, 0.000, 0.000], [0.000, 0.500, 0.250], [0.500, 0.000, 0.750], [0.500, 0.500, 0.500], [0.185, 0.250, 0.625], [0.250, 0.685, 0.875], [0.250, 0.815, 0.375], [0.315, 0.250, 0.125], [0.685, 0.750, 0.125], [0.750, 0.185, 0.375], [0.750, 0.315, 0.875], [0.815, 0.750, 0.625], [0.000, 0.000, 0.500], [0.000, 0.500, 0.750], [0.500, 0.000, 0.250], [0.500, 0.500, 0.000]],
  "dos_at_fermi_per_ev_fu": 4.23,
  "raw_formation_energy_ev_per_atom": -0.51
}



[12]
{
  "formula": "LiSeS2",
  "functional": "GGA-PBEsol",
  "state": "relaxed",
  "cell": [[5.181, 0.000, 0.000], [0.000, 5.181, 0.000], [0.000, 0.000, 13.166]],
  "species": ["Li", "Li", "Li", "Li", "Se", "Se", "Se", "Se", "S", "S", "S", "S", "S", "S", "S", "S"],
  "frac_coords": [[0.000, 0.000, 0.000], [0.000, 0.500, 0.250], [0.500, 0.000, 0.750], [0.500, 0.500, 0.500], [0.000, 0.000, 0.500], [0.000, 0.500, 0.750], [0.500, 0.000, 0.250], [0.500, 0.500, 0.000], [0.238, 0.250, 0.625], [0.250, 0.738, 0.875], [0.250, 0.762, 0.375], [0.262, 0.250, 0.125], [0.738, 0.750, 0.125], [0.750, 0.238, 0.375], [0.750, 0.262, 0.875], [0.762, 0.750, 0.625]],
  "dos_at_fermi_per_ev_fu": 1.62,
  "raw_formation_energy_ev_per_atom": -0.18
}



[13]
{
  "formula": "LiSeS2",
  "functional": "GGA-PBEsol",
  "state": "relaxed",
  "cell": [[3.929, 0.000, 0.000], [-1.965, 3.403, 0.000], [0.000, 0.000, 21.165]],
  "species": ["Li", "Li", "Li", "Se", "Se", "Se", "S", "S", "S", "S", "S", "S"],
  "frac_coords": [[0.000, 0.000, 0.000], [0.333, 0.667, 0.667], [0.667, 0.333, 0.333], [0.000, 0.000, 0.500], [0.333, 0.667, 0.167], [0.667, 0.333, 0.833], [0.000, 0.000, 0.108], [0.000, 0.000, 0.892], [0.333, 0.667, 0.559], [0.333, 0.667, 0.775], [0.667, 0.333, 0.225], [0.667, 0.333, 0.441]],
  "dos_at_fermi_per_ev_fu": 2.00,
  "raw_formation_energy_ev_per_atom": -0.04
}



[14]
{
  "formula": "LiSeS2",
  "functional": "GGA-PBEsol",
  "state": "relaxed",
  "cell": [[3.145, 0.000, 0.000], [-1.572, 2.724, 0.000], [0.000, 0.000, 24.244]],
  "species": ["Li", "Li", "Li", "Se", "Se", "Se", "S", "S", "S", "S", "S", "S"],
  "frac_coords": [[0.000, 0.000, 0.000], [0.333, 0.667, 0.667], [0.667, 0.333, 0.333], [0.000, 0.000, 0.500], [0.333, 0.667, 0.167], [0.667, 0.333, 0.833], [0.000, 0.000, 0.403], [0.000, 0.000, 0.597], [0.333, 0.667, 0.070], [0.333, 0.667, 0.264], [0.667, 0.333, 0.736], [0.667, 0.333, 0.930]],
  "dos_at_fermi_per_ev_fu": 2.19,
  "raw_formation_energy_ev_per_atom": -0.10
}



[15]
{
  "formula": "Li3SnS",
  "functional": "GGA-PBEsol",
  "state": "relaxed",
  "cell": [[4.569, 0.000, 0.000], [0.000, 4.569, 0.000], [0.000, 0.000, 4.569]],
  "species": ["Li", "Li", "Li", "Sn", "S"],
  "frac_coords": [[0.000, 0.000, 0.500], [0.000, 0.500, 0.000], [0.500, 0.000, 0.000], [0.500, 0.500, 0.500], [0.000, 0.000, 0.000]],
  "dos_at_fermi_per_ev_fu": 1.88,
  "raw_formation_energy_ev_per_atom": -0.59
}



[16]
{
  "formula": "LiSnS3",
  "functional": "GGA-PBEsol",
  "state": "relaxed",
  "cell": [[4.498, 0.000, 0.000], [0.000, 4.498, 0.000], [0.000, 0.000, 4.498]],
  "species": ["Li", "Sn", "S", "S", "S"],
  "frac_coords": [[0.000, 0.000, 0.000], [0.500, 0.500, 0.500], [0.000, 0.000, 0.500], [0.000, 0.500, 0.000], [0.500, 0.000, 0.000]],
  "dos_at_fermi_per_ev_fu": 7.07,
  "raw_formation_energy_ev_per_atom": 0.12
}



| no. | volume (Å³/cell) |
| --- | --- |
| 1 | 343.37 |
| 2 | 357.67 |
| 3 | 181.04 |
| 4 | 225.67 |
| 5 | 867.69 |
| 6 | 273.32 |
| 7 | 950.09 |
| 8 | 1535.89 |
| 9 | 116.03 |
| 10 | 146.76 |
| 11 | 334.22 |
| 12 | 353.45 |
| 13 | 282.96 |
| 14 | 207.65 |
| 15 | 95.37 |
| 16 | 91.00 |